(1)
Mg2GaAgBi after structural relaxation. Source: Alexandria via LeMat-Bulk, functional PBE.

```
Mg2GaAgBi
1.0
-1.249 -5.348 0.739
-0.418 -0.647 -5.388
5.382 -1.293 -0.262
Mg Ag Bi Ga
2 1 1 1
Direct
0.500 0.000 0.000
0.000 0.000 0.500
0.000 0.500 0.000
0.000 0.000 0.000
0.500 0.500 0.500
```

Fermi-level density of states: 3.28 states/eV per cell
Energy of formation from the pure elements: 514 meV/atom

(2)
NaGaAgBi after structural relaxation. Source: Alexandria via LeMat-Bulk, functional PBE.

```
NaGaAgBi
1.0
5.093 0.000 0.000
2.546 4.410 0.000
2.546 1.470 4.158
Ga Ag Bi Na
1 1 1 1
Direct
0.250 0.250 0.250
0.000 0.000 0.000
0.750 0.750 0.750
0.500 0.500 0.500
```

Fermi-level density of states: 1.23 states/eV per cell
Energy of formation from the pure elements: -45 meV/atom

(3)
GaAgBiO4 after structural relaxation. Source: Alexandria via LeMat-Bulk, functional PBE.

```
GaAgBiO4
1.0
5.556 0.119 0.000
-2.123 5.136 0.000
0.000 0.000 7.369
Bi O Ag Ga
2 8 2 2
Direct
0.828 0.172 0.250
0.172 0.828 0.750
0.764 0.795 0.750
0.269 0.731 0.459
0.269 0.731 0.041
0.731 0.269 0.959
0.731 0.269 0.541
0.236 0.205 0.250
0.205 0.236 0.750
0.795 0.764 0.250
0.500 0.500 0.000
0.500 0.500 0.500
0.840 0.160 0.750
0.160 0.840 0.250
```

Fermi-level density of states: 6.35 states/eV per cell

(4)
GaAg2BiO4 after structural relaxation. Source: Alexandria via LeMat-Bulk, functional PBE.

```
GaAg2BiO4
1.0
5.206 0.001 -0.004
-0.001 5.207 -0.002
-2.601 -2.601 4.895
O Bi Ag Ga
4 1 2 1
Direct
0.043 0.066 0.692
0.405 0.822 0.251
0.649 0.626 0.692
0.846 0.429 0.251
0.986 0.486 0.972
0.486 0.986 0.972
0.236 0.236 0.472
0.736 0.736 0.472
```

Fermi-level density of states: 0.00 states/eV per cell

(5)
GaAg2BiP after structural relaxation. Source: Alexandria via LeMat-Bulk, functional PBE.

```
GaAg2BiP
1.0
-4.586 -0.994 1.151
0.265 -4.648 -2.956
1.503 -2.403 3.913
Ag Bi P Ga
2 1 1 1
Direct
0.000 0.000 0.500
0.500 0.000 0.000
0.000 0.500 0.000
0.500 0.500 0.500
0.000 0.000 0.000
```

Fermi-level density of states: 4.07 states/eV per cell
Energy of formation from the pure elements: 782 meV/atom

(6)
PmGaAgBi after structural relaxation. Source: Alexandria via LeMat-Bulk, functional PBE.

```
PmGaAgBi
1.0
5.211 0.000 0.000
2.606 4.513 0.000
2.606 1.504 4.255
Pm Ag Ga Bi
1 1 1 1
Direct
0.500 0.500 0.500
0.750 0.750 0.750
0.250 0.250 0.250
0.000 0.000 0.000
```

Fermi-level density of states: 1.90 states/eV per cell
Energy of formation from the pure elements: -252 meV/atom

The calculation returns the following raw total energy values, one per record and in order: -2.0755, -2.8142, -5.1695, -4.9568, -2.8219, -3.8798 eV per atom.